Compound: Lu
Source: the Open Quantum Materials Database
Functional: PBE-GGA
Structure: optimized geometry

```
2
Lattice="1.7247 -3.0629 0.0000 1.7247 3.0629 0.0000 0.0000 0.0000 5.4766" Properties=species:S:1:pos:R:3 pbc="T T T"
Lu 1.7247 2.0489 4.1075
Lu 1.7247 -2.0489 1.3692
```

- ρ: 10.043 g cm⁻³
- E above lowest polymorph: 0.002 eV per atom
- ΔE_f: 0.002 eV per atom
- M_tot: 0.022 μB per atom